DFT (PBE) results for an optimized crystal structure of K3Pa3MnN8.

Formation energy without anion corrections, eV per atom: -0.752
Calculated total energy, eV per atom: -7.923
Size of the total moment, μB per formula unit: 1.1
Mass density, g/cm³: 6.19

Lattice parameters (Å, degrees): 6.8401 6.8435 7.5759 116.81 90.02 119.97
Closest atoms and distances in Å follow each position.
Space group P-1 (No. 2)
One atom of each set of equivalent atoms:
K: 0.0000 0.0000 0.0000 x1  6 N 2.91-2.94
K: 0.0000 0.5000 0.0000 x1  6 N 2.91-2.94
K: 0.5000 0.0000 0.0000 x1  6 N 2.91-2.94
Pa: 0.0000 0.0000 0.5000 x1  6 N 2.26-2.28
Pa: 0.5000 0.0000 0.5000 x1  6 N 2.26-2.28
Pa: 0.5000 0.5000 0.5000 x1  6 N 2.26-2.28
Mn: 0.0000 0.5000 0.5000 x1  6 N 2.09-2.10
N: 0.2071 0.4481 0.6548 x2  1 Mn 2.09, 2 Pa 2.28
N: 0.2069 0.9139 0.6548 x2  1 Mn 2.10, 2 Pa 2.28
N: 0.2591 0.5518 0.3452 x2  1 Mn 2.10, 2 Pa 2.27-2.28
N: 0.2765 0.0529 0.3296 x2  3 Pa 2.26